# MgCr2F

Crystalline MgCr2F at its relaxed geometry (PBE with a Hubbard U, the Alexandria database).

Unit cell a=6.690 b=6.690 c=6.690 alpha=90.00 beta=90.00 gamma=90.00
Space group Fm-3m (No. 225)
Symmetry-distinct sites (fractional):
Mg1 0.000 0.000 0.000 x4
Cr1 0.250 0.250 0.250 x8
F1 0.000 0.000 0.500 x4

Values from the calculation:
For the total energy, the calculation gives -4.60 eV/atom. Its crystal system is cubic. The energy relative to the lowest polymorph listed for this composition is 0.34 eV per formula unit. For the volume, the calculation gives 18.71 Å³/atom.